A plane-wave DFT calculation with GGA-PBE was carried out for a relaxed HfMoN2 crystal.

Cell and atoms, written as CIF:
```
data_HfMoN2
_chemical_formula_sum 'Hf4 Mo4 N8'
_space_group_name_H-M_alt 'P n m a'
_space_group_IT_number 62
_space_group_name_Hall '-P 2ac 2n'
_cell_length_a 5.486
_cell_length_b 3.034
_cell_length_c 10.555
_cell_angle_alpha 90.00
_cell_angle_beta 90.00
_cell_angle_gamma 90.00
loop_
_atom_site_label
_atom_site_type_symbol
_atom_site_fract_x
_atom_site_fract_y
_atom_site_fract_z
Hf1 Hf 0.089 0.250 0.151
Mo1 Mo 0.071 0.750 0.405
N1 N 0.158 0.250 0.756
N2 N 0.219 0.750 0.002
```

N(E_F) = 4.5 states/eV per cell
Density = 11.43 g/cm³
VASP energy = -167.53 eV/cell
Size of the total moment = 0.0 μB/f.u.

A plane-wave DFT calculation with GGA-PBE was carried out for a relaxed HfMo3N crystal.

Cell and atoms, written as CIF:
```
data_HfMo3N
_chemical_formula_sum 'Hf1 Mo3 N1'
_space_group_name_H-M_alt 'P m -3 m'
_space_group_IT_number 221
_space_group_name_Hall '-P 4 2 3'
_cell_length_a 4.769
_cell_length_b 4.769
_cell_length_c 4.769
_cell_angle_alpha 90.00
_cell_angle_beta 90.00
_cell_angle_gamma 90.00
loop_
_atom_site_label
_atom_site_type_symbol
_atom_site_fract_x
_atom_site_fract_y
_atom_site_fract_z
Hf1 Hf 0.000 0.000 0.000
Mo1 Mo 0.000 0.000 0.500
N1 N 0.500 0.500 0.500
```

N(E_F) = 3.7 states/eV per cell
Density = 7.35 g/cm³
VASP energy = -34.86 eV/cell
Size of the total moment = 0.0 μB/f.u.

A plane-wave DFT calculation with GGA-PBE was carried out for a relaxed HfMoN2 crystal.

Cell and atoms, written as CIF:
```
data_HfMoN2
_chemical_formula_sum 'Hf3 Mo3 N6'
_space_group_name_H-M_alt 'R 3 m'
_space_group_IT_number 160
_space_group_name_Hall 'R 3 -2"'
_cell_length_a 2.9890
_cell_length_b 2.9890
_cell_length_c 17.0572
_cell_angle_alpha 90.00
_cell_angle_beta 90.00
_cell_angle_gamma 120.00
loop_
_atom_site_label
_atom_site_type_symbol
_atom_site_fract_x
_atom_site_fract_y
_atom_site_fract_z
Hf1 Hf 0.0000 0.0000 0.0000
Mo1 Mo 0.0000 0.0000 0.8305
N1 N 0.0000 0.0000 0.4218
N2 N 0.0000 0.0000 0.5819
```

N(E_F) = 6.3 states/eV per cell
Density = 11.42 g/cm³
VASP energy = -122.06 eV/cell
Size of the total moment = 0.0 μB/f.u.